## Zr2AlSe (PBE)

Data for crystalline Zr2AlSe at its relaxed geometry.

Calculated values
Uncorrected formation energy in eV per atom: -0.692
Symmetry: P2/m (10)
E above lowest polymorph in eV/f.u.: 0.000

Unit cell a=3.2263 b=3.2324 c=8.1535 alpha=66.72 beta=90.00 gamma=90.00
Positions (direct):
Al: 0.5000 0.2500 0.2500
Zr: 0.0000 0.4842 0.5156
Zr: 0.0000 0.0158 0.9844
Se: 0.5000 0.7500 0.7500


## TeAs2Pb (PBE)

Data for crystalline TeAs2Pb at its relaxed geometry.

Calculated values
Uncorrected formation energy in eV per atom: -0.032
Symmetry: Cm (8)
E above lowest polymorph in eV/f.u.: 0.106

Unit cell a=6.5405 b=6.5405 c=4.3222 alpha=89.70 beta=89.70 gamma=37.70
Positions (direct):
Pb: 0.5037 0.5037 0.3828
Te: 0.2441 0.2441 0.3607
As: 0.9722 0.9722 0.8738
As: 0.7799 0.7799 0.8827


## GeSeBrN2 (PBE)

Data for crystalline GeSeBrN2 at its relaxed geometry.

Calculated values
Uncorrected formation energy in eV per atom: 2.038
Symmetry: P4/mmm (123)
E above lowest polymorph in eV/f.u.: 3.991

Unit cell a=4.1407 b=4.1407 c=5.2654 alpha=90.00 beta=90.00 gamma=90.00
Positions (direct):
Br: 0.0000 0.0000 0.0000
N: 0.5000 0.0000 0.0000
N: 0.0000 0.5000 0.0000
Se: 0.0000 0.0000 0.5000
Ge: 0.5000 0.5000 0.5000


## HfHRu2W (PBE)

Data for crystalline HfHRu2W at its relaxed geometry.

Calculated values
Symmetry: P4/mmm (123)

Unit cell a=4.1082 b=4.1082 c=3.9336 alpha=90.00 beta=90.00 gamma=90.00
Positions (direct):
W: 0.0000 0.0000 0.5000
Ru: 0.0000 0.5000 0.0000
Ru: 0.5000 0.0000 0.0000
H: 0.0000 0.0000 0.0000
Hf: 0.5000 0.5000 0.5000


## FeTc2Hg (PBE)

Data for crystalline FeTc2Hg at its relaxed geometry.

Calculated values
Symmetry: Pm (6)

Unit cell a=3.8018 b=2.8711 c=6.4204 alpha=63.53 beta=90.00 gamma=90.00
Positions (direct):
Tc: 0.0000 0.9751 0.0442
Tc: 0.5000 0.2268 0.2440
Hg: 0.5000 0.7631 0.7404
Fe: 0.0000 0.5350 0.4714


## YInSCl2 (PBE)

Data for crystalline YInSCl2 at its relaxed geometry.

Calculated values
Uncorrected formation energy in eV per atom: -0.755
Symmetry: P4/mmm (123)
E above lowest polymorph in eV/f.u.: 0.000

Unit cell a=5.5646 b=5.5646 c=7.9563 alpha=90.00 beta=90.00 gamma=90.00
Positions (direct):
Cl: 0.0000 0.5000 0.0000
Cl: 0.5000 0.0000 0.0000
In: 0.5000 0.5000 0.5000
Y: 0.0000 0.0000 0.0000
S: 0.0000 0.0000 0.5000


## Sr2CuPt (PBE)

Data for crystalline Sr2CuPt at its relaxed geometry.

Calculated values
Symmetry: Cm (8)

Unit cell a=4.4141 b=4.4136 c=8.1125 alpha=74.13 beta=74.21 gamma=60.00
Positions (direct):
Pt: 0.4694 0.2324 0.8287
Cu: 0.1358 0.8985 0.8298
Sr: 0.8857 0.6495 0.5792
Sr: 0.7194 0.4816 0.0797


## MgPaGeN (PBE)

Data for crystalline MgPaGeN at its relaxed geometry.

Calculated values
Uncorrected formation energy in eV per atom: -0.953
Symmetry: P4/nmm (129)

Unit cell a=4.0334 b=4.0334 c=8.8605 alpha=90.00 beta=90.00 gamma=90.00
Positions (direct):
N: 0.0000 0.0000 0.0000
N: 0.5000 0.5000 0.0000
Ge: 0.5000 0.0000 0.7052
Ge: 0.0000 0.5000 0.2948
Mg: 0.5000 0.5000 0.5000
Mg: 0.0000 0.0000 0.5000
Pa: 0.0000 0.5000 0.8709
Pa: 0.5000 0.0000 0.1291


| no. | energy (eV/cell) |
| --- | --- |
| 1 | -27.09 |
| 2 | -16.28 |
| 3 | -16.24 |
| 4 | -45.09 |
| 5 | -28.08 |
| 6 | -20.80 |
| 7 | -15.48 |
| 8 | -55.69 |